A plane-wave DFT calculation with PBE was carried out for a relaxed NbNi2TeSe2 crystal.

It has space group P2_1/m (No. 11), with a = 7.145 Å, b = 3.607 Å, c = 10.142 Å, α = 90.00°, β = 106.57° and γ = 90.00°. Symmetry generates all atoms from Nb at (0.227, 0.250, 0.201), Ni at (0.056, 0.250, 0.934), Ni at (0.412, 0.750, 0.413), Te at (0.035, 0.750, 0.330), Se at (0.278, 0.750, 0.015) and Se at (0.422, 0.750, 0.654).

As for the crystal system: monoclinic. For the energy, the calculation gives -5.73 eV per atom. For the magnetization, the calculation gives 0.01 μB per formula unit.

A plane-wave DFT calculation with PBE was carried out for a relaxed ScZn crystal.

It has space group P2_1/m (No. 11), with a = 6.402 Å, b = 4.478 Å, c = 8.387 Å, α = 90.00°, β = 108.29° and γ = 90.00°. Symmetry generates all atoms from Sc at (0.177, 0.250, 0.324), Sc at (0.185, 0.750, 0.040), Sc at (0.199, 0.250, 0.770), Zn at (0.212, 0.750, 0.559), Zn at (0.469, 0.750, 0.374) and Zn at (0.483, 0.250, 0.128).

As for the crystal system: monoclinic. For the energy, the calculation gives -4.05 eV per atom. For the magnetization, the calculation gives 0.06 μB per formula unit. The calculation puts the formation energy at -0.252 eV/atom.